The following is a DFT calculation (PBE) of a relaxed structure of SrCd2Rh.

Results
Density, g/cm³: 6.57
Total DFT energy (no corrections), eV/atom: -2.693
Formation enthalpy at 0 K, eV/atom: 0.02

Unit cell a=4.5519 b=4.5519 c=20.2624 alpha=90.00 beta=90.00 gamma=90.00
Space group I-42d (No. 122)
Asymmetric unit:
Sr 0.0000 0.0000 0.0000 x4
Cd 0.1664 0.2500 0.6250 x8
Rh 0.0000 0.0000 0.5000 x4

The following is a DFT calculation (PBE) of a relaxed structure of Sr8Cd2Rh3.

Results
Density, g/cm³: 4.54
Total DFT energy (no corrections), eV/atom: -3.037
Formation enthalpy at 0 K, eV/atom: -0.16

Unit cell a=9.5481 b=5.3372 c=9.5602 alpha=90.00 beta=112.10 gamma=90.00
Space group P2/m (No. 10)
Asymmetric unit:
Sr 0.1087 0.0000 0.3911 x2
Sr 0.1347 0.5000 0.8544 x2
Sr 0.3545 0.5000 0.6341 x2
Sr 0.3884 0.0000 0.1118 x2
Cd 0.2486 0.5000 0.2511 x2
Rh 0.0000 0.5000 0.5000 x1
Rh 0.2533 0.0000 0.7530 x2

The following is a DFT calculation (PBE) of a relaxed structure of Sr4CdRh.

Results
Density, g/cm³: 3.86
Total DFT energy (no corrections), eV/atom: -2.685
Distance to the lowest polymorph of the same formula, meV/atom: 53.0
Formation enthalpy at 0 K, eV/atom: -0.19

Unit cell a=10.0815 b=16.0392 c=7.5412 alpha=90.00 beta=126.96 gamma=90.00
Space group C2/c (No. 15)
Asymmetric unit:
Sr 0.1501 0.2085 0.1559 x8
Sr 0.2336 0.0374 0.7282 x8
Cd 0.0000 0.3718 0.7500 x4
Rh 0.0000 0.0802 0.2500 x4

The following is a DFT calculation (PBE) of a relaxed structure of Sr4CdRh2.

Results
Density, g/cm³: 4.91
Total DFT energy (no corrections), eV/atom: -3.412
Formation enthalpy at 0 K, eV/atom: -0.22

Unit cell a=5.1147 b=5.1147 c=29.9742 alpha=90.00 beta=90.00 gamma=120.00
Space group R-3m (No. 166, hexagonal axes)
Asymmetric unit:
Sr 0.0000 0.0000 0.1111 x6
Sr 0.0000 0.0000 0.2960 x6
Cd 0.0000 0.0000 0.5000 x3
Rh 0.0000 0.0000 0.4088 x6

The following is a DFT calculation (PBE) of a relaxed structure of SrCd2Rh.

Results
Density, g/cm³: 6.89
Total DFT energy (no corrections), eV/atom: -2.851
Formation enthalpy at 0 K, eV/atom: -0.13

Unit cell a=4.4288 b=4.0200 c=6.0425 alpha=90.00 beta=111.41 gamma=90.00
Space group Pm (No. 6)
Asymmetric unit:
Sr 0.0000 0.0000 0.0000 x1
Cd 0.3023 0.5000 0.6083 x1
Cd 0.7149 0.0000 0.4308 x1
Rh 0.5542 0.5000 0.1095 x1

The following is a DFT calculation (PBE) of a relaxed structure of Sr2Cd2Rh.

Results
Density, g/cm³: 5.53
Total DFT energy (no corrections), eV/atom: -2.814
Distance to the lowest polymorph of the same formula, meV/atom: 29.8
Formation enthalpy at 0 K, eV/atom: -0.31

Unit cell a=12.4369 b=4.1976 c=13.1078 alpha=90.00 beta=118.06 gamma=90.00
Space group C2/m (No. 12)
Asymmetric unit:
Sr 0.0809 0.0000 0.3670 x4
Sr 0.2115 0.0000 0.1233 x4
Cd 0.0089 0.5000 0.8795 x4
Cd 0.1260 0.5000 0.5929 x4
Rh 0.2208 0.5000 0.2995 x4

The following is a DFT calculation (PBE) of a relaxed structure of SrCd2Rh.

Results
Density, g/cm³: 7.32
Total DFT energy (no corrections), eV/atom: -2.830
Formation enthalpy at 0 K, eV/atom: -0.11

Unit cell a=3.4725 b=4.7899 c=5.9090 alpha=90.00 beta=106.53 gamma=90.00
Space group P2/m (No. 10)
Asymmetric unit:
Sr 0.0000 0.0000 0.0000 x1
Cd 0.3414 0.5000 0.7098 x2
Rh 0.5000 0.0000 0.5000 x1

The following is a DFT calculation (PBE) of a relaxed structure of SrCd2Rh.

Results
Density, g/cm³: 7.22
Total DFT energy (no corrections), eV/atom: -2.796
Formation enthalpy at 0 K, eV/atom: -0.08

Unit cell a=4.9412 b=5.4081 c=7.1485 alpha=90.00 beta=90.00 gamma=90.00
Space group Imm2 (No. 44)
Asymmetric unit:
Sr 0.0000 0.0000 0.0000 x2
Cd 0.0000 0.0000 0.5155 x2
Cd 0.0000 0.5000 0.7843 x2
Rh 0.0000 0.5000 0.2029 x2

The following is a DFT calculation (PBE) of a relaxed structure of Sr5Cd5Rh2.

Results
Density, g/cm³: 5.44
Total DFT energy (no corrections), eV/atom: -2.614
Formation enthalpy at 0 K, eV/atom: -0.31

Unit cell a=17.2342 b=4.5726 c=12.6592 alpha=90.00 beta=132.39 gamma=90.00
Space group C2/m (No. 12)
Asymmetric unit:
Sr 0.0000 0.0000 0.0000 x2
Sr 0.1201 0.5000 0.8199 x4
Sr 0.2046 0.5000 0.5800 x4
Cd 0.0000 0.0000 0.5000 x2
Cd 0.0616 0.0000 0.3192 x4
Cd 0.2126 0.5000 0.1610 x4
Rh 0.1106 0.5000 0.2570 x4

The following is a DFT calculation (PBE) of a relaxed structure of Sr3CdRh2.

Results
Density, g/cm³: 5.35
Total DFT energy (no corrections), eV/atom: -3.680
Formation enthalpy at 0 K, eV/atom: -0.24

Unit cell a=8.8487 b=8.8487 c=15.9696 alpha=90.00 beta=90.00 gamma=120.00
Space group R-3c (No. 167, hexagonal axes)
Asymmetric unit:
Sr 0.0000 0.3114 0.2500 x18
Cd 0.0000 0.0000 0.0000 x6
Rh 0.0000 0.0000 0.1672 x12

The following is a DFT calculation (PBE) of a relaxed structure of SrCd8Rh4.

Results
Density, g/cm³: 8.81
Total DFT energy (no corrections), eV/atom: -3.179
Formation enthalpy at 0 K, eV/atom: -0.22

Unit cell a=9.4384 b=9.4384 c=5.9153 alpha=90.00 beta=90.00 gamma=90.00
Space group I4/mmm (No. 139)
Asymmetric unit:
Sr 0.0000 0.0000 0.0000 x2
Cd 0.0000 0.2270 0.5000 x8
Cd 0.0000 0.3305 0.0000 x8
Rh 0.2500 0.2500 0.2500 x8

The following is a DFT calculation (PBE) of a relaxed structure of Sr7Cd2Rh2.

Results
Density, g/cm³: 4.25
Total DFT energy (no corrections), eV/atom: -2.766
Formation enthalpy at 0 K, eV/atom: -0.19

Unit cell a=8.8353 b=12.0352 c=7.6720 alpha=90.00 beta=90.00 gamma=90.00
Space group Cmmm (No. 65)
Asymmetric unit:
Sr 0.0000 0.0000 0.0000 x2
Sr 0.0000 0.5000 0.2353 x4
Sr 0.2500 0.2500 0.2491 x8
Cd 0.1665 0.0000 0.5000 x4
Rh 0.0000 0.2922 0.0000 x4